# LiCo2Br (PBE, relaxed)
# * uncorrected energy: -4.209 eV per atom
# * energy relative to the elements, uncorrected: 1.0 eV per formula unit
# * offset from the most stable computed form: 187 meV/atom
# * mass density: 4.2 g/cm3
data_LiCo2Br
_symmetry_space_group_name_H-M 'P 1'
_symmetry_Int_Tables_number 1
_cell_length_a 3.373
_cell_length_b 3.373
_cell_length_c 14.243
_cell_angle_alpha 90.00
_cell_angle_beta 90.00
_cell_angle_gamma 90.00
loop_
_symmetry_equiv_pos_as_xyz
'x,y,z'
loop_
_atom_site_label
_atom_site_type_symbol
_atom_site_fract_x
_atom_site_fract_y
_atom_site_fract_z
Li1 Li 0.000 0.000 0.000
Li2 Li 0.500 0.500 0.500
Co1 Co 0.000 0.500 0.250
Co2 Co 0.000 0.500 0.750
Co3 Co 0.500 0.000 0.250
Co4 Co 0.500 0.000 0.750
Br1 Br 0.000 0.000 0.500
Br2 Br 0.500 0.500 0.000

***

# LiCo2Br (PBE, relaxed)
# * uncorrected energy: -4.078 eV per atom
# * energy relative to the elements, uncorrected: 1.5 eV per formula unit
# * offset from the most stable computed form: 318 meV/atom
# * mass density: 4.7 g/cm3
data_LiCo2Br
_symmetry_space_group_name_H-M 'P 1'
_symmetry_Int_Tables_number 1
_cell_length_a 3.183
_cell_length_b 4.309
_cell_length_c 10.539
_cell_angle_alpha 90.00
_cell_angle_beta 90.00
_cell_angle_gamma 90.00
loop_
_symmetry_equiv_pos_as_xyz
'x,y,z'
loop_
_atom_site_label
_atom_site_type_symbol
_atom_site_fract_x
_atom_site_fract_y
_atom_site_fract_z
Li1 Li 0.000 0.000 0.000
Li2 Li 0.500 0.500 0.500
Co1 Co 0.000 0.000 0.481
Co2 Co 0.000 0.500 0.129
Co3 Co 0.500 0.000 0.629
Co4 Co 0.500 0.500 0.981
Br1 Br 0.000 0.500 0.791
Br2 Br 0.500 0.000 0.291

***

# LiCoBr2 (PBE, relaxed)
# * uncorrected energy: -3.474 eV per atom
# * energy relative to the elements, uncorrected: -1.5 eV per formula unit
# * offset from the most stable computed form: 173 meV/atom
# * mass density: 3.8 g/cm3
data_LiCoBr2
_symmetry_space_group_name_H-M 'P 1'
_symmetry_Int_Tables_number 1
_cell_length_a 7.270
_cell_length_b 7.215
_cell_length_c 4.183
_cell_angle_alpha 90.00
_cell_angle_beta 114.42
_cell_angle_gamma 90.00
loop_
_symmetry_equiv_pos_as_xyz
'x,y,z'
loop_
_atom_site_label
_atom_site_type_symbol
_atom_site_fract_x
_atom_site_fract_y
_atom_site_fract_z
Li1 Li 0.000 0.000 0.000
Li2 Li 0.500 0.500 0.000
Co1 Co 0.000 0.500 0.000
Co2 Co 0.500 0.000 0.000
Br1 Br 0.250 0.250 0.000
Br2 Br 0.250 0.750 0.000
Br3 Br 0.750 0.250 0.000
Br4 Br 0.750 0.750 0.000

***

# LiCo2Br (PBE, relaxed)
# * uncorrected energy: -4.396 eV per atom
# * energy relative to the elements, uncorrected: 0.2 eV per formula unit
# * offset from the most stable computed form: 0 meV/atom
# * mass density: 5.5 g/cm3
data_LiCo2Br
_symmetry_space_group_name_H-M 'P 1'
_symmetry_Int_Tables_number 1
_cell_length_a 3.210
_cell_length_b 3.162
_cell_length_c 6.344
_cell_angle_alpha 90.00
_cell_angle_beta 104.58
_cell_angle_gamma 90.00
loop_
_symmetry_equiv_pos_as_xyz
'x,y,z'
loop_
_atom_site_label
_atom_site_type_symbol
_atom_site_fract_x
_atom_site_fract_y
_atom_site_fract_z
Li1 Li 0.000 0.000 0.000
Co1 Co 0.213 0.000 0.429
Co2 Co 0.638 0.500 0.278
Br1 Br 0.410 0.500 0.819

***

# LiCo2Br (PBE, relaxed)
# * uncorrected energy: -3.681 eV per atom
# * energy relative to the elements, uncorrected: 3.1 eV per formula unit
# * offset from the most stable computed form: 715 meV/atom
# * mass density: 5.4 g/cm3
data_LiCo2Br
_symmetry_space_group_name_H-M 'P 1'
_symmetry_Int_Tables_number 1
_cell_length_a 2.985
_cell_length_b 4.948
_cell_length_c 8.545
_cell_angle_alpha 90.00
_cell_angle_beta 90.00
_cell_angle_gamma 90.00
loop_
_symmetry_equiv_pos_as_xyz
'x,y,z'
loop_
_atom_site_label
_atom_site_type_symbol
_atom_site_fract_x
_atom_site_fract_y
_atom_site_fract_z
Li1 Li 0.000 0.000 0.000
Li2 Li 0.500 0.500 0.000
Co1 Co 0.000 0.500 0.251
Co2 Co 0.000 0.500 0.749
Co3 Co 0.500 0.000 0.251
Co4 Co 0.500 0.000 0.749
Br1 Br 0.000 0.000 0.500
Br2 Br 0.500 0.500 0.500

***

# LiCoBr2 (PBE, relaxed)
# * uncorrected energy: -3.490 eV per atom
# * energy relative to the elements, uncorrected: -1.6 eV per formula unit
# * offset from the most stable computed form: 158 meV/atom
# * mass density: 3.8 g/cm3
data_LiCoBr2
_symmetry_space_group_name_H-M 'P 1'
_symmetry_Int_Tables_number 1
_cell_length_a 3.692
_cell_length_b 7.173
_cell_length_c 7.481
_cell_angle_alpha 90.00
_cell_angle_beta 90.00
_cell_angle_gamma 90.00
loop_
_symmetry_equiv_pos_as_xyz
'x,y,z'
loop_
_atom_site_label
_atom_site_type_symbol
_atom_site_fract_x
_atom_site_fract_y
_atom_site_fract_z
Li1 Li 0.000 0.000 0.000
Li2 Li 0.500 0.500 0.500
Co1 Co 0.000 0.500 0.000
Co2 Co 0.500 0.000 0.500
Br1 Br 0.000 0.234 0.500
Br2 Br 0.000 0.766 0.500
Br3 Br 0.500 0.266 0.000
Br4 Br 0.500 0.734 0.000

***

# LiCoBr2 (PBE, relaxed)
# * uncorrected energy: -3.484 eV per atom
# * energy relative to the elements, uncorrected: -1.6 eV per formula unit
# * offset from the most stable computed form: 163 meV/atom
# * mass density: 3.9 g/cm3
data_LiCoBr2
_symmetry_space_group_name_H-M 'P 1'
_symmetry_Int_Tables_number 1
_cell_length_a 3.721
_cell_length_b 7.329
_cell_length_c 7.117
_cell_angle_alpha 90.00
_cell_angle_beta 90.00
_cell_angle_gamma 90.00
loop_
_symmetry_equiv_pos_as_xyz
'x,y,z'
loop_
_atom_site_label
_atom_site_type_symbol
_atom_site_fract_x
_atom_site_fract_y
_atom_site_fract_z
Li1 Li 0.000 0.000 0.000
Li2 Li 0.500 0.500 0.000
Co1 Co 0.000 0.000 0.500
Co2 Co 0.500 0.500 0.500
Br1 Br 0.000 0.500 0.259
Br2 Br 0.000 0.500 0.741
Br3 Br 0.500 0.000 0.259
Br4 Br 0.500 0.000 0.741

***

# LiCoBr2 (PBE, relaxed)
# * uncorrected energy: -3.628 eV per atom
# * energy relative to the elements, uncorrected: -2.1 eV per formula unit
# * offset from the most stable computed form: 20 meV/atom
# * mass density: 4.8 g/cm3
data_LiCoBr2
_symmetry_space_group_name_H-M 'P 1'
_symmetry_Int_Tables_number 1
_cell_length_a 6.704
_cell_length_b 3.876
_cell_length_c 6.434
_cell_angle_alpha 90.00
_cell_angle_beta 110.45
_cell_angle_gamma 90.00
loop_
_symmetry_equiv_pos_as_xyz
'x,y,z'
loop_
_atom_site_label
_atom_site_type_symbol
_atom_site_fract_x
_atom_site_fract_y
_atom_site_fract_z
Li1 Li 0.000 0.000 0.000
Li2 Li 0.500 0.500 0.000
Co1 Co 0.000 0.500 0.500
Co2 Co 0.500 0.000 0.500
Br1 Br 0.245 0.000 0.733
Br2 Br 0.255 0.500 0.267
Br3 Br 0.745 0.500 0.733
Br4 Br 0.755 0.000 0.267

***

# LiCo2Br (PBE, relaxed)
# * uncorrected energy: -3.759 eV per atom
# * energy relative to the elements, uncorrected: 2.8 eV per formula unit
# * offset from the most stable computed form: 637 meV/atom
# * mass density: 5.5 g/cm3
data_LiCo2Br
_symmetry_space_group_name_H-M 'P 1'
_symmetry_Int_Tables_number 1
_cell_length_a 2.960
_cell_length_b 2.960
_cell_length_c 24.426
_cell_angle_alpha 90.00
_cell_angle_beta 90.00
_cell_angle_gamma 120.00
loop_
_symmetry_equiv_pos_as_xyz
'x,y,z'
loop_
_atom_site_label
_atom_site_type_symbol
_atom_site_fract_x
_atom_site_fract_y
_atom_site_fract_z
Li1 Li 0.000 0.000 0.000
Li2 Li 0.333 0.667 0.667
Li3 Li 0.667 0.333 0.333
Co1 Co 0.000 0.000 0.246
Co2 Co 0.000 0.000 0.754
Co3 Co 0.333 0.667 0.421
Co4 Co 0.333 0.667 0.913
Co5 Co 0.667 0.333 0.087
Co6 Co 0.667 0.333 0.579
Br1 Br 0.000 0.000 0.500
Br2 Br 0.333 0.667 0.167
Br3 Br 0.667 0.333 0.833

***

# LiCo2Br (PBE, relaxed)
# * uncorrected energy: -3.990 eV per atom
# * energy relative to the elements, uncorrected: 1.8 eV per formula unit
# * offset from the most stable computed form: 406 meV/atom
# * mass density: 5.7 g/cm3
data_LiCo2Br
_symmetry_space_group_name_H-M 'P 1'
_symmetry_Int_Tables_number 1
_cell_length_a 3.313
_cell_length_b 3.313
_cell_length_c 5.440
_cell_angle_alpha 90.00
_cell_angle_beta 90.00
_cell_angle_gamma 90.00
loop_
_symmetry_equiv_pos_as_xyz
'x,y,z'
loop_
_atom_site_label
_atom_site_type_symbol
_atom_site_fract_x
_atom_site_fract_y
_atom_site_fract_z
Li1 Li 0.000 0.000 0.000
Co1 Co 0.500 0.500 0.203
Co2 Co 0.500 0.500 0.797
Br1 Br 0.000 0.000 0.500

***

# LiCoBr2 (PBE, relaxed)
# * uncorrected energy: -3.612 eV per atom
# * energy relative to the elements, uncorrected: -2.1 eV per formula unit
# * offset from the most stable computed form: 36 meV/atom
# * mass density: 3.9 g/cm3
data_LiCoBr2
_symmetry_space_group_name_H-M 'P 1'
_symmetry_Int_Tables_number 1
_cell_length_a 14.413
_cell_length_b 3.630
_cell_length_c 3.631
_cell_angle_alpha 90.00
_cell_angle_beta 90.89
_cell_angle_gamma 90.00
loop_
_symmetry_equiv_pos_as_xyz
'x,y,z'
loop_
_atom_site_label
_atom_site_type_symbol
_atom_site_fract_x
_atom_site_fract_y
_atom_site_fract_z
Li1 Li 0.000 0.000 0.000
Li2 Li 0.500 0.500 0.000
Co1 Co 0.364 0.000 0.451
Co2 Co 0.864 0.500 0.451
Br1 Br 0.038 0.500 0.502
Br2 Br 0.319 0.500 0.978
Br3 Br 0.538 0.000 0.502
Br4 Br 0.819 0.000 0.978

***

# LiCo4Br (PBE, relaxed)
# * uncorrected energy: -4.872 eV per atom
# * energy relative to the elements, uncorrected: 2.8 eV per formula unit
# * mass density: 6.4 g/cm3
data_LiCo4Br
_symmetry_space_group_name_H-M 'P 1'
_symmetry_Int_Tables_number 1
_cell_length_a 4.920
_cell_length_b 4.920
_cell_length_c 4.920
_cell_angle_alpha 60.00
_cell_angle_beta 60.00
_cell_angle_gamma 60.00
loop_
_symmetry_equiv_pos_as_xyz
'x,y,z'
loop_
_atom_site_label
_atom_site_type_symbol
_atom_site_fract_x
_atom_site_fract_y
_atom_site_fract_z
Li1 Li 0.000 0.000 0.000
Co1 Co 0.374 0.374 0.374
Co2 Co 0.374 0.374 0.877
Co3 Co 0.374 0.877 0.374
Co4 Co 0.877 0.374 0.374
Br1 Br 0.750 0.750 0.750

***

Repeat the sixth record exactly.
# LiCoBr2 (PBE, relaxed)
# * uncorrected energy: -3.490 eV per atom
# * energy relative to the elements, uncorrected: -1.6 eV per formula unit
# * offset from the most stable computed form: 158 meV/atom
# * mass density: 3.8 g/cm3
data_LiCoBr2
_symmetry_space_group_name_H-M 'P 1'
_symmetry_Int_Tables_number 1
_cell_length_a 3.692
_cell_length_b 7.173
_cell_length_c 7.481
_cell_angle_alpha 90.00
_cell_angle_beta 90.00
_cell_angle_gamma 90.00
loop_
_symmetry_equiv_pos_as_xyz
'x,y,z'
loop_
_atom_site_label
_atom_site_type_symbol
_atom_site_fract_x
_atom_site_fract_y
_atom_site_fract_z
Li1 Li 0.000 0.000 0.000
Li2 Li 0.500 0.500 0.500
Co1 Co 0.000 0.500 0.000
Co2 Co 0.500 0.000 0.500
Br1 Br 0.000 0.234 0.500
Br2 Br 0.000 0.766 0.500
Br3 Br 0.500 0.266 0.000
Br4 Br 0.500 0.734 0.000

***

Repeat the sixth record exactly.
# LiCoBr2 (PBE, relaxed)
# * uncorrected energy: -3.490 eV per atom
# * energy relative to the elements, uncorrected: -1.6 eV per formula unit
# * offset from the most stable computed form: 158 meV/atom
# * mass density: 3.8 g/cm3
data_LiCoBr2
_symmetry_space_group_name_H-M 'P 1'
_symmetry_Int_Tables_number 1
_cell_length_a 3.692
_cell_length_b 7.173
_cell_length_c 7.481
_cell_angle_alpha 90.00
_cell_angle_beta 90.00
_cell_angle_gamma 90.00
loop_
_symmetry_equiv_pos_as_xyz
'x,y,z'
loop_
_atom_site_label
_atom_site_type_symbol
_atom_site_fract_x
_atom_site_fract_y
_atom_site_fract_z
Li1 Li 0.000 0.000 0.000
Li2 Li 0.500 0.500 0.500
Co1 Co 0.000 0.500 0.000
Co2 Co 0.500 0.000 0.500
Br1 Br 0.000 0.234 0.500
Br2 Br 0.000 0.766 0.500
Br3 Br 0.500 0.266 0.000
Br4 Br 0.500 0.734 0.000